No. 1
Here is an optimized crystal structure of VCuSCl2 from the Alexandria database. Energies are from PBE-GGA.

It has space group P4/mmm (No. 123), with a = 4.527 Å, b = 4.527 Å, c = 4.918 Å, α = 90.00°, β = 90.00° and γ = 90.00°. The distinct sites, in fractional coordinates, are V at (0.000, 0.000, 0.000), Cu at (0.500, 0.500, 0.500), S at (0.500, 0.500, 0.000) and Cl at (0.000, 0.500, 0.500).

The calculation puts the spin magnetization at 3.0 μB per formula unit. The calculation puts the calculated volume at 100.8 Å³ per cell. Its energy relative to the lowest polymorph listed for this composition is 0.351 eV per atom. Its formation energy from raw total energies is 0.16 eV/atom. As for the crystal system: tetragonal.

No. 2
Here is an optimized crystal structure of VCuSCl2 from the Alexandria database. Energies are from PBE-GGA.

It has space group P4/mmm (No. 123), with a = 4.842 Å, b = 4.842 Å, c = 4.551 Å, α = 90.00°, β = 90.00° and γ = 90.00°. The distinct sites, in fractional coordinates, are V at (0.000, 0.000, 0.000), Cu at (0.500, 0.500, 0.500), S at (0.000, 0.000, 0.500) and Cl at (0.000, 0.500, 0.000).

The calculation puts the spin magnetization at 2.0 μB per formula unit. The calculation puts the calculated volume at 106.7 Å³ per cell. Its energy relative to the lowest polymorph listed for this composition is 0.000 eV per atom. Its formation energy from raw total energies is -0.19 eV/atom. As for the crystal system: tetragonal.

No. 3
Here is an optimized crystal structure of Cu4WS4Cl4 from the Alexandria database. Energies are from PBE-GGA.

It has space group I4/mmm (No. 139), with a = 13.928 Å, b = 13.928 Å, c = 6.124 Å, α = 90.00°, β = 90.00° and γ = 90.00°. The distinct sites, in fractional coordinates, are Cu at (0.000, 0.377, 0.000), Cu at (0.130, 0.130, 0.500), W at (0.000, 0.000, 0.000), W at (0.000, 0.000, 0.500), S at (0.000, 0.148, 0.250) and Cl at (0.122, 0.378, 0.250).

The calculation puts the spin magnetization at 0.0 μB per formula unit. The calculation puts the calculated volume at 1188.1 Å³ per cell. Its energy relative to the lowest polymorph listed for this composition is 0.069 eV per atom. Its formation energy from raw total energies is -0.14 eV/atom. As for the crystal system: tetragonal.

No. 4
Here is an optimized crystal structure of Cu4WS4Cl4 from the Alexandria database. Energies are from PBE-GGA.

It has space group C2/m (No. 12), with a = 14.422 Å, b = 14.411 Å, c = 5.989 Å, α = 90.00°, β = 99.68° and γ = 90.00°. The distinct sites, in fractional coordinates, are Cu at (0.000, 0.089, 0.000), Cu at (0.135, 0.371, 0.557), Cu at (0.158, 0.000, 0.571), W at (0.000, 0.500, 0.000), W at (0.000, 0.500, 0.500), S at (0.000, 0.353, 0.253), S at (0.140, 0.500, 0.297), S at (0.140, 0.500, 0.815), Cl at (0.092, 0.116, 0.769) and Cl at (0.205, 0.134, 0.377).

The calculation puts the spin magnetization at 0.0 μB per formula unit. The calculation puts the calculated volume at 1227.0 Å³ per cell. Its energy relative to the lowest polymorph listed for this composition is 0.000 eV per atom. Its formation energy from raw total energies is -0.21 eV/atom. As for the crystal system: monoclinic.

No. 5
Here is an optimized crystal structure of YCuS2Cl from the Alexandria database. Energies are from PBE-GGA.

It has space group P4/mmm (No. 123), with a = 5.257 Å, b = 5.257 Å, c = 5.200 Å, α = 90.00°, β = 90.00° and γ = 90.00°. The distinct sites, in fractional coordinates, are Y at (0.000, 0.000, 0.000), Cu at (0.500, 0.500, 0.500), S at (0.000, 0.500, 0.000) and Cl at (0.000, 0.000, 0.500).

The calculation puts the spin magnetization at 0.0 μB per formula unit. The calculation puts the calculated volume at 143.7 Å³ per cell. Its energy relative to the lowest polymorph listed for this composition is 0.348 eV per atom. Its formation energy from raw total energies is -0.43 eV/atom. As for the crystal system: tetragonal.

No. 6
Here is an optimized crystal structure of YCuSCl2 from the Alexandria database. Energies are from PBE-GGA.

It has space group P4/mmm (No. 123), with a = 5.200 Å, b = 5.200 Å, c = 5.345 Å, α = 90.00°, β = 90.00° and γ = 90.00°. The distinct sites, in fractional coordinates, are Y at (0.000, 0.000, 0.000), Cu at (0.500, 0.500, 0.500), S at (0.000, 0.000, 0.500) and Cl at (0.000, 0.500, 0.000).

The calculation puts the spin magnetization at 0.2 μB per formula unit. The calculation puts the calculated volume at 144.5 Å³ per cell. Its energy relative to the lowest polymorph listed for this composition is 0.000 eV per atom. Its formation energy from raw total energies is -0.88 eV/atom. As for the crystal system: tetragonal.